Density functional theory data (PBE) for crystalline Be2InSn2 at its relaxed geometry.

Geometry as POSCAR:
```
Be2InSn2
1.0
4.296 0.000 0.000
0.000 4.296 0.000
2.148 2.148 5.714
Be In Sn
2 1 2
Direct
0.750 0.250 0.500
0.250 0.750 0.500
0.000 0.000 0.000
0.629 0.629 0.742
0.371 0.371 0.258
```

**ΔH_f (0 K)**: 0.396 eV per atom
**Space-group type**: I4/mmm
**Excess energy over the best structure of this formula in the dataset**: 0 meV per atom

Density functional theory data (PBE) for crystalline BeV2InSn at its relaxed geometry.

Geometry as POSCAR:
```
BeV2InSn
1.0
-1.601 4.667 -1.097
-2.005 0.213 3.834
4.185 1.924 2.081
Be In Sn V
1 1 1 2
Direct
0.000 0.500 0.000
0.000 0.000 0.000
0.500 0.500 0.500
0.000 0.000 0.500
0.500 0.000 0.000
```

**ΔH_f (0 K)**: 1.251 eV per atom
**Space-group type**: P4/mmm

Density functional theory data (PBE) for crystalline Be2InSnW at its relaxed geometry.

Geometry as POSCAR:
```
Be2InSnW
1.0
4.369 0.000 0.000
0.000 5.376 0.000
0.000 0.000 4.369
W Be In Sn
1 2 1 1
Direct
0.000 0.500 0.000
0.000 0.000 0.500
0.500 0.000 0.000
0.000 0.000 0.000
0.500 0.500 0.500
```

**ΔH_f (0 K)**: 1.507 eV per atom
**Space-group type**: P4/mmm